[1]
Computed, not measured: crystalline Tl3HgRh at its relaxed geometry at the PBE level of DFT.

Cell and atoms, written as POSCAR:
```
Tl3HgRh
1.0
5.4949 0.0000 0.0000
1.7136 5.2776 0.0000
0.0218 0.1250 8.8742
Tl Hg Rh
6 2 2
Direct
0.0000 0.0000 0.0000
0.0142 0.3885 0.6875
0.1240 0.4422 0.2165
0.4832 0.4958 0.9108
0.5963 0.9720 0.7113
0.9587 0.9924 0.4145
0.4872 0.5331 0.4874
0.5412 0.8668 0.1930
0.1440 0.8408 0.7047
0.6586 0.3299 0.2025
```

The distance to the lowest polymorph of the same formula is 58.0 meV per atom.

=====

[2]
Computed, not measured: crystalline CsRbCuF6 at its relaxed geometry at the PBE level of DFT.

Cell and atoms, written as POSCAR:
```
CsRbCuF6
1.0
3.2184 -5.5911 0.0000
3.2184 5.5911 0.0000
-0.0048 0.0000 5.5386
Cs Rb Cu F
1 1 1 6
Direct
0.0000 0.0000 0.0000
0.6664 0.3336 0.5000
0.3336 0.6664 0.5000
0.0977 0.4260 0.3075
0.1000 0.6720 0.6934
0.3280 0.9000 0.3066
0.3301 0.4284 0.6946
0.5716 0.6699 0.3054
0.5740 0.9023 0.6925
```

The calculation puts the uncorrected formation energy at -17.409 eV per formula unit.

=====

[3]
Computed, not measured: crystalline TaZn2In at its relaxed geometry at the PBE level of DFT.

Cell and atoms, written as POSCAR:
```
TaZn2In
1.0
-1.9971 1.9971 4.4508
1.9971 -1.9971 4.4508
1.9971 1.9971 -4.4508
Ta Zn In
1 2 1
Direct
0.0000 0.0000 0.0000
0.2500 0.7500 0.5000
0.7500 0.2500 0.5000
0.5000 0.5000 0.0000
```

The value obtained for the energy is -0.1476 Ha/atom.

=====

[4]
Computed, not measured: crystalline Ba8Zr3Sb4O24 at its relaxed geometry at the PBE level of DFT.

Cell and atoms, written as POSCAR:
```
Ba8Zr3Sb4O24
1.0
-4.1911 4.1911 8.4444
4.1911 -4.1911 8.4444
4.1911 4.1911 -8.4444
Ba Zr Sb O
8 3 4 24
Direct
0.1149 0.1149 0.4669
0.1149 0.6480 0.0000
0.3520 0.3520 0.4669
0.3520 0.8851 0.0000
0.6480 0.1149 0.0000
0.6480 0.6480 0.5331
0.8851 0.3520 0.0000
0.8851 0.8851 0.5331
0.2500 0.7500 0.5000
0.5000 0.5000 0.0000
0.7500 0.2500 0.5000
0.0000 0.5000 0.5000
0.2572 0.2572 0.0000
0.5000 0.0000 0.5000
0.7428 0.7428 0.0000
0.0000 0.2702 0.2702
0.0000 0.7298 0.7298
0.0101 0.2562 0.7539
0.1238 0.6238 0.5000
0.1422 0.1422 0.0000
0.2474 0.5000 0.7474
0.2562 0.0101 0.7539
0.2562 0.5023 0.2461
0.2702 0.0000 0.2702
0.3749 0.3749 0.0000
0.3762 0.8762 0.5000
0.4977 0.7438 0.7539
0.5000 0.2474 0.7474
0.5000 0.7526 0.2526
0.5023 0.2562 0.2461
0.6238 0.1238 0.5000
0.6251 0.6251 0.0000
0.7298 0.0000 0.7298
0.7438 0.4977 0.7539
0.7438 0.9899 0.2461
0.7526 0.5000 0.2526
0.8578 0.8578 0.0000
0.8762 0.3762 0.5000
0.9899 0.7438 0.2461
```

The calculation puts the uncorrected formation energy at -99.840 eV per formula unit.